## P
First-principles (PBE-GGA) data for Y5ThSc2 after structural relaxation, as listed in Alexandria.

The structure in CIF format:
```
data_Y5ThSc2
_chemical_formula_sum 'Y20 Th4 Sc8'
_space_group_name_H-M_alt 'C m c m'
_space_group_IT_number 63
_space_group_name_Hall '-C 2c 2'
_cell_length_a 5.417
_cell_length_b 11.679
_cell_length_c 15.717
_cell_angle_alpha 90.00
_cell_angle_beta 90.00
_cell_angle_gamma 90.00
loop_
_atom_site_label
_atom_site_type_symbol
_atom_site_fract_x
_atom_site_fract_y
_atom_site_fract_z
Y1 Y 0.000 0.040 0.250
Y2 Y 0.000 0.133 0.545
Y3 Y 0.000 0.431 0.596
Th1 Th 0.000 0.236 0.750
Sc1 Sc 0.000 0.280 0.139
```

=====

## Q
First-principles (PBE-GGA) data for Y5ThSc2 after structural relaxation, as listed in Alexandria.

The structure in CIF format:
```
data_Y5ThSc2
_chemical_formula_sum 'Y10 Th2 Sc4'
_space_group_name_H-M_alt 'P b a m'
_space_group_IT_number 55
_space_group_name_Hall '-P 2 2ab'
_cell_length_a 7.023
_cell_length_b 14.073
_cell_length_c 4.904
_cell_angle_alpha 90.00
_cell_angle_beta 90.00
_cell_angle_gamma 90.00
loop_
_atom_site_label
_atom_site_type_symbol
_atom_site_fract_x
_atom_site_fract_y
_atom_site_fract_z
Y1 Y 0.000 0.000 0.000
Y2 Y 0.008 0.251 0.000
Y3 Y 0.249 0.876 0.500
Th1 Th 0.000 0.500 0.000
Sc1 Sc 0.238 0.622 0.500
```

=====

Least stable of them? P.

=====

## P
First-principles (PBE-GGA) data for YTh3Sc6 after structural relaxation, as listed in Alexandria.

The structure in CIF format:
```
data_YTh3Sc6
_chemical_formula_sum 'Y3 Th9 Sc18'
_space_group_name_H-M_alt 'R -3'
_space_group_IT_number 148
_space_group_name_Hall '-R 3'
_cell_length_a 9.2924
_cell_length_b 9.2924
_cell_length_c 11.6490
_cell_angle_alpha 90.00
_cell_angle_beta 90.00
_cell_angle_gamma 120.00
loop_
_atom_site_label
_atom_site_type_symbol
_atom_site_fract_x
_atom_site_fract_y
_atom_site_fract_z
Y1 Y 0.0000 0.0000 0.0000
Th1 Th 0.0000 0.0000 0.2485
Th2 Th 0.0000 0.0000 0.5000
Sc1 Sc 0.9998 0.3346 0.0835
```

=====

## Q
First-principles (PBE-GGA) data for YTh3Sc6 after structural relaxation, as listed in Alexandria.

The structure in CIF format:
```
data_YTh3Sc6
_chemical_formula_sum 'Y4 Th12 Sc24'
_space_group_name_H-M_alt 'C m c 21'
_space_group_IT_number 36
_space_group_name_Hall 'C 2c -2'
_cell_length_a 9.389
_cell_length_b 19.644
_cell_length_c 6.048
_cell_angle_alpha 90.00
_cell_angle_beta 90.00
_cell_angle_gamma 90.00
loop_
_atom_site_label
_atom_site_type_symbol
_atom_site_fract_x
_atom_site_fract_y
_atom_site_fract_z
Y1 Y 0.000 0.158 0.000
Th1 Th 0.000 0.430 0.082
Th2 Th 0.181 0.122 0.483
Sc1 Sc 0.000 0.002 0.744
Sc2 Sc 0.000 0.305 0.766
Sc3 Sc 0.172 0.278 0.311
Sc4 Sc 0.191 0.434 0.524
```

=====

Least stable of them? P.